No. 1
This record from the Alexandria database describes an optimized crystal structure of Pm3Sm4Dy2. The functional is GGA-PBE.

**Offset from the most stable computed form**: 0.000 eV per atom
**Density of states at the Fermi level**: 1.40 states/eV per atom
**Formation energy from the elements**: 15 meV per atom

Structure (extended XYZ):
```
9
Lattice="7.6639 -2.5590 0.0000 7.6639 2.5590 0.0000 -2.5406 0.0000 7.6730" Properties=species:S:1:pos:R:3 pbc="T T T"
Pm 0.0000 0.0000 0.0000
Pm 0.0054 0.0000 5.1103
Pm 12.7818 0.0000 2.5627
Sm 2.5571 0.0000 2.5611
Sm 2.5763 0.0000 7.6673
Sm 10.2108 0.0000 0.0058
Sm 10.2300 0.0000 5.1120
Dy 5.1204 0.0000 5.1072
Dy 7.6668 0.0000 2.5658
```

=====

No. 2
This record from the Alexandria database describes an optimized crystal structure of PmSmDy2. The functional is GGA-PBE.

**Offset from the most stable computed form**: 0.117 eV per atom
**Density of states at the Fermi level**: 2.22 states/eV per atom
**Formation energy from the elements**: 130 meV per atom

Structure (extended XYZ):
```
4
Lattice="0.0000 4.0423 4.0423 4.0423 0.0000 4.0423 4.0423 4.0423 0.0000" Properties=species:S:1:pos:R:3 pbc="T T T"
Pm 0.0000 0.0000 0.0000
Sm 4.0423 4.0423 4.0423
Dy 2.0211 2.0211 2.0211
Dy 6.0634 6.0634 6.0634
```

=====

No. 3
This record from the Alexandria database describes an optimized crystal structure of Pm2Sm4Dy5. The functional is GGA-PBE.

**Offset from the most stable computed form**: 0.000 eV per atom
**Density of states at the Fermi level**: 1.91 states/eV per atom
**Formation energy from the elements**: 104 meV per atom

Structure (extended XYZ):
```
11
Lattice="9.8608 -2.9240 0.0000 9.8608 2.9240 0.0000 -0.6335 0.0000 6.3018" Properties=species:S:1:pos:R:3 pbc="T T T"
Pm 1.9515 0.0000 0.2507
Pm 17.1367 0.0000 6.0512
Sm 3.4889 0.0000 3.6056
Sm 8.9608 0.0000 1.4008
Sm 10.1274 0.0000 4.9010
Sm 15.5993 0.0000 2.6963
Dy -0.3167 0.0000 3.1509
Dy 5.5787 0.0000 0.6703
Dy 6.9307 0.0000 4.0891
Dy 12.1575 0.0000 2.2127
Dy 13.5095 0.0000 5.6315
```

=====

No. 4
This record from the Alexandria database describes an optimized crystal structure of PmSm6Dy6. The functional is GGA-PBE.

**Density of states at the Fermi level**: 1.64 states/eV per atom
**Formation energy from the elements**: 220 meV per atom

Structure (extended XYZ):
```
13
Lattice="3.5429 -5.5804 0.0000 3.5429 5.5804 0.0000 0.0000 0.0000 11.1889" Properties=species:S:1:pos:R:3 pbc="T T T"
Pm 0.0000 0.0000 0.0000
Sm 0.0000 0.0000 3.7239
Sm 0.0000 0.0000 7.4650
Sm 3.5429 2.6216 5.5945
Sm 3.5429 1.5934 0.0000
Sm 3.5429 -1.5934 0.0000
Sm 3.5429 -2.6216 5.5945
Dy 1.7714 2.7902 2.5210
Dy 1.7714 2.7902 8.6679
Dy 1.7714 -2.7902 2.5210
Dy 1.7714 -2.7902 8.6679
Dy 3.5429 0.0000 3.3736
Dy 3.5429 0.0000 7.8153
```

=====

No. 5
This record from the Alexandria database describes an optimized crystal structure of Pm7SmDy2. The functional is GGA-PBE.

**Offset from the most stable computed form**: 0.263 eV per atom
**Density of states at the Fermi level**: 1.49 states/eV per atom
**Formation energy from the elements**: 649 meV per atom

Structure (extended XYZ):
```
10
Lattice="4.4399 -8.1385 0.0000 4.4399 8.1385 0.0000 0.0000 0.0000 5.6896" Properties=species:S:1:pos:R:3 pbc="T T T"
Pm 0.0000 0.0000 0.0000
Pm 2.8519 1.8694 0.0000
Pm 4.4399 3.6363 2.8448
Pm 2.8519 -1.8694 0.0000
Pm 6.0280 1.8694 0.0000
Pm 4.4399 -3.6363 2.8448
Pm 6.0280 -1.8694 0.0000
Sm 4.4399 0.0000 2.8448
Dy 4.4399 4.8130 0.0000
Dy 4.4399 -4.8130 0.0000
```

=====

No. 6
This record from the Alexandria database describes an optimized crystal structure of Pm5Sm4Dy. The functional is GGA-PBE.

**Offset from the most stable computed form**: 0.000 eV per atom
**Density of states at the Fermi level**: 1.40 states/eV per atom
**Formation energy from the elements**: 14 meV per atom

Structure (extended XYZ):
```
10
Lattice="12.9710 -1.8154 0.0000 12.9710 1.8154 0.0000 -1.0163 0.0000 7.1877" Properties=species:S:1:pos:R:3 pbc="T T T"
Pm 0.0000 0.0000 0.0000
Pm 5.0820 0.0000 0.7209
Pm 9.6854 0.0000 5.0239
Pm 15.2404 0.0000 2.1637
Pm 19.8438 0.0000 6.4667
Sm 4.5699 0.0000 4.3076
Sm 10.1882 0.0000 1.4510
Sm 14.7376 0.0000 5.7367
Sm 20.3559 0.0000 2.8800
Dy -0.5081 0.0000 3.5938
```

=====

No. 7
This record from the Alexandria database describes an optimized crystal structure of PmSm2Dy4. The functional is GGA-PBE.

**Offset from the most stable computed form**: 0.000 eV per atom
**Density of states at the Fermi level**: 1.41 states/eV per atom
**Formation energy from the elements**: 41 meV per atom

Structure (extended XYZ):
```
7
Lattice="8.4136 -1.7748 0.0000 8.4136 1.7748 0.0000 -4.3643 0.0000 7.6464" Properties=species:S:1:pos:R:3 pbc="T T T"
Pm 0.0000 0.0000 0.0000
Sm -0.7016 0.0000 3.2757
Sm 13.1645 0.0000 4.3707
Dy 1.8623 0.0000 5.4029
Dy 5.2858 0.0000 1.2099
Dy 7.1770 0.0000 6.4365
Dy 10.6006 0.0000 2.2435
```

=====

No. 8
This record from the Alexandria database describes an optimized crystal structure of PmSm3Dy6. The functional is GGA-PBE.

**Offset from the most stable computed form**: 0.133 eV per atom
**Density of states at the Fermi level**: 2.13 states/eV per atom
**Formation energy from the elements**: 282 meV per atom

Structure (extended XYZ):
```
10
Lattice="4.9538 2.8601 3.8820 -4.9538 2.8601 3.8820 0.0000 -5.7201 3.8820" Properties=species:S:1:pos:R:3 pbc="T T T"
Pm 0.0000 0.0000 0.0000
Sm 0.0000 0.0000 2.9145
Sm 0.0000 0.0000 5.8225
Sm 0.0000 0.0000 8.7257
Dy -1.6225 -2.9077 3.8897
Dy -3.2438 -0.0016 5.8311
Dy -1.7069 2.8590 3.8897
Dy 1.6233 -2.8084 5.8311
Dy 3.3294 0.0487 3.8897
Dy 1.6205 2.8100 5.8311
```

=====

No. 9
This record from the Alexandria database describes an optimized crystal structure of Pm12Sm7Dy. The functional is GGA-PBE.

**Offset from the most stable computed form**: 0.188 eV per atom
**Density of states at the Fermi level**: 1.23 states/eV per atom
**Formation energy from the elements**: 283 meV per atom

Structure (extended XYZ):
```
20
Lattice="9.4140 5.4352 2.2942 -9.4140 5.4352 2.2942 0.0000 -10.8704 2.2942" Properties=species:S:1:pos:R:3 pbc="T T T"
Pm -7.4014 -1.9473 3.1203
Pm -2.0143 -7.3835 3.7622
Pm -4.9215 2.1198 2.9295
Pm -4.2965 -3.2022 3.9530
Pm 0.6249 -5.3220 2.9295
Pm -5.3871 5.4361 3.7622
Pm 5.3871 -5.4362 3.1203
Pm -0.6249 5.3220 3.9531
Pm 4.2965 3.2022 2.9295
Pm 4.9215 -2.1198 3.9531
Pm 2.0143 7.3835 3.1203
Pm 7.4014 1.9473 3.7622
Sm 0.0000 0.0000 0.0000
Sm -2.8683 -0.1033 1.9082
Sm 1.5236 -2.4323 1.9082
Sm 1.3447 2.5356 1.9082
Sm -1.3447 -2.5356 4.9744
Sm -1.5236 2.4323 4.9744
Sm 2.8683 0.1033 4.9744
Dy 0.0000 0.0000 3.4413
```

=====

No. 10
This record from the Alexandria database describes an optimized crystal structure of Pm14SmDy. The functional is GGA-PBE.

**Density of states at the Fermi level**: 1.54 states/eV per atom
**Formation energy from the elements**: 14 meV per atom

Structure (extended XYZ):
```
16
Lattice="10.2840 0.0000 0.0000 0.0000 5.1552 5.1540 0.0000 -5.1552 5.1540" Properties=species:S:1:pos:R:3 pbc="T T T"
Pm 0.0000 0.0000 0.0000
Pm 0.0000 0.0000 5.1476
Pm 0.0000 -2.5751 7.7279
Pm 0.0000 2.5751 7.7279
Pm 2.5822 0.0000 2.5674
Pm 2.5815 -2.5833 5.1503
Pm 2.5815 2.5833 5.1503
Pm 2.5810 0.0000 7.7335
Pm 5.1420 2.5799 7.7280
Pm 5.1420 -2.5799 7.7280
Pm 7.7019 0.0000 2.5674
Pm 7.7026 -2.5833 5.1503
Pm 7.7026 2.5833 5.1503
Pm 7.7031 0.0000 7.7335
Sm 5.1420 0.0000 5.1537
Dy 5.1420 0.0000 10.3026
```

=====

No. 11
This record from the Alexandria database describes an optimized crystal structure of Pm4SmDy6. The functional is GGA-PBE.

**Offset from the most stable computed form**: 0.133 eV per atom
**Density of states at the Fermi level**: 1.34 states/eV per atom
**Formation energy from the elements**: 438 meV per atom

Structure (extended XYZ):
```
11
Lattice="-3.8563 3.8563 6.5403 3.8563 -3.8563 6.5403 3.8563 3.8563 -6.5403" Properties=species:S:1:pos:R:3 pbc="T T T"
Pm 2.5217 2.5217 -0.9920
Pm 1.3347 -1.3347 7.5323
Pm 1.3347 1.3347 5.5483
Pm -1.3347 1.3347 7.5323
Sm 0.0000 0.0000 0.0000
Dy 3.8563 0.0000 0.0000
Dy 1.9691 -1.9691 4.1179
Dy 1.8873 1.8873 2.4224
Dy 0.0000 3.8563 0.0000
Dy -1.9691 1.9691 4.1179
Dy 1.9691 1.9691 8.9627
```

=====

No. 12
This record from the Alexandria database describes an optimized crystal structure of Pm2Sm9Dy. The functional is GGA-PBE.

**Density of states at the Fermi level**: 1.66 states/eV per atom
**Formation energy from the elements**: 17 meV per atom

Structure (extended XYZ):
```
12
Lattice="5.1225 0.0000 0.0000 0.0000 5.1225 0.0000 0.0000 0.0000 15.3648" Properties=species:S:1:pos:R:3 pbc="T T T"
Pm 0.0000 0.0000 2.5728
Pm 0.0000 0.0000 12.7920
Sm 0.0000 2.5613 0.0000
Sm 0.0000 2.5613 5.1426
Sm 0.0000 2.5613 10.2222
Sm 2.5613 0.0000 0.0000
Sm 2.5613 0.0000 5.1426
Sm 2.5613 0.0000 10.2222
Sm 2.5613 2.5613 2.5720
Sm 2.5613 2.5613 7.6824
Sm 2.5613 2.5613 12.7928
Dy 0.0000 0.0000 7.6824
```

=====

No. 13
This record from the Alexandria database describes an optimized crystal structure of PmSm3Dy4. The functional is GGA-PBE.

**Density of states at the Fermi level**: 1.40 states/eV per atom
**Formation energy from the elements**: 17 meV per atom

Structure (extended XYZ):
```
16
Lattice="10.1388 0.0000 0.0000 0.0000 7.1799 0.0000 0.0000 0.0000 7.1807" Properties=species:S:1:pos:R:3 pbc="T T T"
Pm 0.0000 0.0000 0.0000
Pm 5.0694 0.0000 3.5903
Sm 0.0000 3.5900 3.5903
Sm 2.5347 1.7973 1.7952
Sm 2.5347 5.3827 5.3855
Sm 5.0694 3.5900 0.0000
Sm 7.6041 1.7973 1.7952
Sm 7.6041 5.3827 5.3855
Dy 0.0000 0.0000 3.5903
Dy 0.0000 3.5900 0.0000
Dy 2.5347 1.7964 5.3855
Dy 2.5347 5.3836 1.7952
Dy 5.0694 0.0000 0.0000
Dy 5.0694 3.5900 3.5903
Dy 7.6041 1.7964 5.3855
Dy 7.6041 5.3836 1.7952
```

=====

No. 14
This record from the Alexandria database describes an optimized crystal structure of Pm4SmDy15. The functional is GGA-PBE.

**Density of states at the Fermi level**: 1.33 states/eV per atom
**Formation energy from the elements**: 18 meV per atom

Structure (extended XYZ):
```
20
Lattice="5.0499 0.0000 0.0000 0.0000 5.0499 0.0000 0.0000 0.0000 25.1779" Properties=species:S:1:pos:R:3 pbc="T T T"
Pm 0.0000 0.0000 2.5166
Pm 0.0000 0.0000 7.5535
Pm 0.0000 0.0000 17.6244
Pm 0.0000 0.0000 22.6613
Sm 0.0000 0.0000 12.5889
Dy 0.0000 2.5250 0.0000
Dy 0.0000 2.5250 5.0341
Dy 0.0000 2.5250 10.0755
Dy 0.0000 2.5250 15.1024
Dy 0.0000 2.5250 20.1438
Dy 2.5250 0.0000 0.0000
Dy 2.5250 0.0000 5.0341
Dy 2.5250 0.0000 10.0755
Dy 2.5250 0.0000 15.1024
Dy 2.5250 0.0000 20.1438
Dy 2.5250 2.5250 2.5159
Dy 2.5250 2.5250 7.5556
Dy 2.5250 2.5250 12.5889
Dy 2.5250 2.5250 17.6223
Dy 2.5250 2.5250 22.6620
```

=====

No. 15
This record from the Alexandria database describes an optimized crystal structure of Pm3SmDy4. The functional is GGA-PBE.

**Offset from the most stable computed form**: 0.000 eV per atom
**Density of states at the Fermi level**: 1.42 states/eV per atom
**Formation energy from the elements**: 16 meV per atom

Structure (extended XYZ):
```
8
Lattice="3.6000 0.0000 0.0000 0.0000 10.1173 0.0000 -0.0115 0.0000 7.2004" Properties=species:S:1:pos:R:3 pbc="T T T"
Pm 0.0000 0.0000 0.0000
Pm -0.0057 0.0000 3.6002
Pm 0.0000 5.0587 0.0000
Sm -0.0057 5.0587 3.6002
Dy 1.7971 2.5331 1.8024
Dy 1.7914 2.5331 5.3980
Dy 1.7971 7.5842 1.8024
Dy 1.7914 7.5842 5.3980
```

=====

No. 16
This record from the Alexandria database describes an optimized crystal structure of Pm5Sm2Dy3. The functional is GGA-PBE.

**Offset from the most stable computed form**: 0.184 eV per atom
**Density of states at the Fermi level**: 1.49 states/eV per atom
**Formation energy from the elements**: 372 meV per atom

Structure (extended XYZ):
```
20
Lattice="-4.7180 10.9746 3.4395 4.7180 -10.9746 3.4395 4.7180 10.9746 -3.4395" Properties=species:S:1:pos:R:3 pbc="T T T"
Pm 4.7180 -5.4492 1.7198
Pm 0.9058 2.7701 0.0000
Pm 0.0000 0.0000 1.7198
Pm 5.6238 8.2046 0.0000
Pm 4.7180 5.4492 1.7198
Pm 0.0000 5.5254 1.7198
Pm -0.9058 2.7701 3.4395
Pm 0.0000 0.0000 5.1593
Pm 3.8122 8.2046 3.4395
Pm 0.0000 16.4238 1.7198
Sm 3.8051 2.6915 0.0000
Sm 3.8051 -2.6915 3.4395
Sm 0.9129 13.6662 0.0000
Sm 0.9129 8.2831 3.4395
Dy 7.0572 2.6601 0.0000
Dy 4.7180 0.0000 1.7198
Dy 2.3392 8.3145 0.0000
Dy 2.3788 2.6601 3.4395
Dy 0.0000 10.9746 1.7198
Dy -2.3392 8.3145 3.4395
```

=====

No. 17
This record from the Alexandria database describes an optimized crystal structure of PmSm2Dy9. The functional is GGA-PBE.

**Offset from the most stable computed form**: 0.033 eV per atom
**Density of states at the Fermi level**: 1.45 states/eV per atom
**Formation energy from the elements**: 52 meV per atom

Structure (extended XYZ):
```
12
Lattice="11.2744 0.0000 0.0000 -5.6372 9.7639 0.0000 0.0000 0.0000 3.5113" Properties=species:S:1:pos:R:3 pbc="T T T"
Pm 0.0000 0.0000 0.0000
Sm 0.0000 6.5093 0.0000
Sm 5.6372 3.2546 0.0000
Dy -2.8186 4.8820 0.0000
Dy 0.0000 3.4331 1.7557
Dy -2.6641 8.0474 1.7557
Dy 2.9732 1.7165 1.7557
Dy 5.6372 0.0000 0.0000
Dy 2.8186 4.8820 0.0000
Dy 2.6640 8.0474 1.7557
Dy 8.3013 1.7165 1.7557
Dy 5.6372 6.3308 1.7557
```

=====

No. 18
This record from the Alexandria database describes an optimized crystal structure of Pm2SmDy6. The functional is GGA-PBE.

**Offset from the most stable computed form**: 0.147 eV per atom
**Density of states at the Fermi level**: 1.50 states/eV per atom
**Formation energy from the elements**: 344 meV per atom

Structure (extended XYZ):
```
9
Lattice="3.7143 2.1444 6.3364 -3.7143 2.1444 6.3364 0.0000 -4.2889 6.3364" Properties=species:S:1:pos:R:3 pbc="T T T"
Pm 0.0000 0.0000 0.0000
Pm 0.0000 0.0000 3.3202
Sm 0.0000 0.0000 13.9814
Dy -1.6009 -0.9243 6.1685
Dy -1.7672 -1.0203 9.9086
Dy 1.6009 -0.9243 6.1685
Dy 0.0000 1.8485 6.1685
Dy 1.7672 -1.0203 9.9086
Dy 0.0000 2.0406 9.9086
```

=====

No. 19
This record from the Alexandria database describes an optimized crystal structure of PmSm12Dy7. The functional is GGA-PBE.

**Offset from the most stable computed form**: 0.000 eV per atom
**Density of states at the Fermi level**: 1.76 states/eV per atom
**Formation energy from the elements**: 162 meV per atom

Structure (extended XYZ):
```
20
Lattice="7.5806 4.3767 3.3698 -7.5806 4.3767 3.3698 0.0000 -8.7534 3.3698" Properties=species:S:1:pos:R:3 pbc="T T T"
Pm 0.0000 0.0000 0.0000
Sm -1.8762 -2.0457 2.5428
Sm -3.3965 0.6114 4.2811
Sm -0.8335 2.6477 2.5428
Sm -2.2277 -2.6358 5.8283
Sm 1.1688 -3.2471 4.2811
Sm 2.7097 -0.6020 2.5428
Sm -2.7097 0.6020 7.5666
Sm -1.1688 3.2471 5.8283
Sm 2.2277 2.6358 4.2811
Sm 0.8336 -2.6477 7.5666
Sm 3.3965 -0.6114 5.8283
Sm 1.8762 2.0457 7.5666
Dy -6.7223 1.1500 4.1273
Dy -4.3571 -5.2467 5.9821
Dy 2.3652 -6.3967 4.1273
Dy 0.0000 0.0000 5.0547
Dy -2.3652 6.3967 5.9821
Dy 4.3571 5.2467 4.1273
Dy 6.7223 -1.1500 5.9821
```

=====

No. 20
This record from the Alexandria database describes an optimized crystal structure of Pm10Sm4Dy. The functional is GGA-PBE.

**Density of states at the Fermi level**: 1.43 states/eV per atom
**Formation energy from the elements**: 713 meV per atom

Structure (extended XYZ):
```
15
Lattice="-6.1922 6.1922 3.9095 6.1922 -6.1922 3.9095 6.1922 6.1922 -3.9095" Properties=species:S:1:pos:R:3 pbc="T T T"
Pm 4.9657 3.7206 -1.9624
Pm 2.4715 -1.2265 1.9471
Pm 6.1922 0.0000 1.9548
Pm 3.7206 7.4186 -1.9624
Pm 1.2265 2.4715 1.9471
Pm 4.9657 3.7206 1.9624
Pm 2.4715 -1.2265 5.8720
Pm 0.0000 6.1922 1.9548
Pm 3.7206 7.4186 1.9624
Pm 1.2265 2.4715 5.8720
Sm 7.4377 2.4886 0.0000
Sm 2.4886 4.9466 0.0000
Sm 3.7036 1.2455 3.9095
Sm -1.2455 3.7036 3.9095
Dy 0.0000 0.0000 0.0000
```